# HfCoNiPb

A relaxed structure of HfCoNiPb (PBE, OQMD via LeMat-Bulk).

abc: 4.572 4.572 4.572
angles: 60.00 60.00 60.00
Atoms (fractional coordinates):
Co  0.500  0.500  0.500
Hf  0.250  0.250  0.250
Ni  0.750  0.750  0.750
Pb  0.000  0.000  0.000

Offset from the most stable computed form = 375 meV per atom
E = -6.3153 eV per atom

# HfCoNiPb

A relaxed structure of HfCoNiPb (PBE, OQMD via LeMat-Bulk).

abc: 4.480 4.480 4.480
angles: 60.00 60.00 60.00
Atoms (fractional coordinates):
Co  0.750  0.750  0.750
Hf  0.500  0.500  0.500
Ni  0.250  0.250  0.250
Pb  0.000  0.000  0.000

Offset from the most stable computed form = 0 meV per atom
E = -6.6900 eV per atom

# Hf4CoNiSb2

A relaxed structure of Hf4CoNiSb2 (PBE, OQMD via LeMat-Bulk).

abc: 5.613 3.758 7.731
angles: 90.00 107.93 90.00
Atoms (fractional coordinates):
Co  0.384  0.000  0.199
Hf  0.741  0.000  0.060
Hf  0.670  0.500  0.401
Hf  0.327  0.000  0.593
Hf  0.256  0.500  0.948
Ni  0.622  0.500  0.797
Sb  0.118  0.500  0.291
Sb  0.882  0.000  0.710

E = -8.0965 eV per atom